The following is a DFT calculation (GGA-PBE) of crystalline HfTi4Fe at its relaxed geometry.

Computed properties:
The energy of formation comes out at 460 meV/atom. For the total energy, the calculation gives -7.87 eV per atom. The total magnetization comes out at 0.00 μB/atom. The symmetry is P4/mmm (123).

```
HfTi4Fe
1.0
3.9694 0.0000 0.0000
0.0000 3.9694 0.0000
0.0000 0.0000 7.3794
Hf Ti Fe
1 4 1
Cartesian
0.0000 0.0000 0.0000
0.0000 1.9847 2.2269
0.0000 1.9847 5.1526
1.9847 0.0000 2.2269
1.9847 0.0000 5.1526
1.9847 1.9847 3.6897
```